DFT (GGA+U) results for a relaxed structure of NpMn2O5.

POSCAR file:
```
NpMn2O5
1.0
5.419 0.000 0.000
-2.710 5.028 -2.207
0.000 0.261 7.778
Np Mn O
2 4 10
Direct
0.000 0.000 0.000 Np
0.000 0.000 0.500 Np
0.639 0.270 0.236 Mn
0.369 0.730 0.264 Mn
0.631 0.270 0.736 Mn
0.361 0.730 0.764 Mn
0.033 0.357 0.148 O
0.762 0.162 0.452 O
0.400 0.162 0.952 O
0.676 0.643 0.352 O
0.324 0.357 0.648 O
0.205 0.000 0.250 O
0.600 0.838 0.048 O
0.238 0.838 0.548 O
0.967 0.643 0.852 O
0.795 0.000 0.750 O
```

Space group: No. 15
Uncorrected energy, eV/atom: -8.845